## MgAs2Rh2 (GGA-PBE)

Data for a relaxed structure of MgAs2Rh2.

Cell: 7.139 7.139 3.255 Å, 90.00 90.00 90.00°
Positions (direct):
Mg 0.000 0.000 0.000
Mg 0.500 0.500 0.000
As 0.156 0.344 0.500
As 0.344 0.844 0.500
As 0.656 0.156 0.500
As 0.844 0.656 0.500
Rh 0.142 0.642 0.000
Rh 0.358 0.142 0.000
Rh 0.642 0.858 0.000
Rh 0.858 0.358 0.000

Values from the calculation:
space-group type: P4/mbm, No. 127
density: 7.61 Mg/m³
E_form: -0.299 eV per atom
calculated volume: 16.6 Å³ per atom
final energy: -5.418 eV per atom



## Ba4Sm3Cl16 (GGA-PBE)

Data for a relaxed structure of Ba4Sm3Cl16.

Cell: 11.383 11.383 11.383 Å, 72.38 72.38 72.38°
Positions (direct):
Ba 0.178 0.422 0.628
Ba 0.230 0.230 0.230
Ba 0.372 0.822 0.578
Ba 0.422 0.628 0.178
Ba 0.578 0.372 0.822
Ba 0.628 0.178 0.422
Ba 0.770 0.770 0.770
Ba 0.822 0.578 0.372
Sm 0.039 0.880 0.347
Sm 0.120 0.653 0.961
Sm 0.347 0.039 0.880
Sm 0.653 0.961 0.120
Sm 0.880 0.347 0.039
Sm 0.961 0.120 0.653
Cl 0.012 0.454 0.146
Cl 0.048 0.333 0.471
Cl 0.053 0.849 0.755
Cl 0.101 0.694 0.203
Cl 0.146 0.012 0.454
Cl 0.151 0.245 0.947
Cl 0.203 0.101 0.694
Cl 0.245 0.947 0.151
Cl 0.251 0.698 0.433
Cl 0.302 0.567 0.749
Cl 0.306 0.797 0.899
Cl 0.333 0.471 0.048
Cl 0.372 0.372 0.372
Cl 0.433 0.251 0.698
Cl 0.454 0.146 0.012
Cl 0.471 0.048 0.333
Cl 0.529 0.952 0.667
Cl 0.546 0.854 0.988
Cl 0.567 0.749 0.302
Cl 0.628 0.628 0.628
Cl 0.667 0.529 0.952
Cl 0.694 0.203 0.101
Cl 0.698 0.433 0.251
Cl 0.749 0.302 0.567
Cl 0.755 0.053 0.849
Cl 0.797 0.899 0.306
Cl 0.849 0.755 0.053
Cl 0.854 0.988 0.546
Cl 0.899 0.306 0.797
Cl 0.947 0.151 0.245
Cl 0.952 0.667 0.529
Cl 0.988 0.546 0.854

Values from the calculation:
space-group type: R-3, No. 148
density: 3.99 Mg/m³
ΔE_f (raw): -2365 meV/atom
calculated volume: 28.3 Å³ per atom
final energy: -4.600 eV per atom



## TaP2S2 (GGA-PBE)

Data for a relaxed structure of TaP2S2.

Cell: 4.909 4.909 4.594 Å, 90.00 90.00 90.00°
Positions (direct):
Ta 0.000 0.000 0.000
P 0.000 0.500 0.000
P 0.500 0.000 0.000
S 0.000 0.000 0.500
S 0.500 0.500 0.500

Values from the calculation:
space-group type: P4/mmm, No. 123
density: 4.61 Mg/m³
excess energy over the best structure of this formula in the dataset: 26.83 kJ/mol of atoms
ΔE_f (raw): 544 meV/atom
calculated volume: 22.1 Å³ per atom
final energy: -5.642 eV per atom



## AcTbGeAu (GGA-PBE)

Data for a relaxed structure of AcTbGeAu.

Cell: 5.338 5.338 5.338 Å, 60.00 60.00 60.00°
Positions (direct):
Ac 0.000 0.000 0.000
Tb 0.500 0.500 0.500
Ge 0.250 0.250 0.250
Au 0.750 0.750 0.750

Values from the calculation:
space-group type: F-43m, No. 216
density: 10.12 Mg/m³
E_form: -0.661 eV per atom
calculated volume: 26.9 Å³ per atom
final energy: -4.819 eV per atom



## Cd2SiSe (GGA-PBE)

Data for a relaxed structure of Cd2SiSe.

Cell: 4.915 4.915 3.550 Å, 90.00 90.00 90.00°
Positions (direct):
Cd 0.000 0.500 0.000
Cd 0.500 0.000 0.000
Si 0.000 0.000 0.500
Se 0.500 0.500 0.500

Values from the calculation:
space-group type: P4/mmm, No. 123
density: 6.43 Mg/m³
excess energy over the best structure of this formula in the dataset: 23.38 kJ/mol of atoms
ΔE_f (raw): 320 meV/atom
calculated volume: 21.4 Å³ per atom
final energy: -2.364 eV per atom



## KCdPt2 (GGA-PBE)

Data for a relaxed structure of KCdPt2.

Cell: 2.995 2.995 9.015 Å, 90.00 90.00 90.00°
Positions (direct):
K 0.000 0.000 0.000
Cd 0.000 0.000 0.500
Pt 0.500 0.500 0.287
Pt 0.500 0.500 0.713

Values from the calculation:
space-group type: P4/mmm, No. 123
density: 11.13 Mg/m³
E_form: -0.028 eV per atom
excess energy over the best structure of this formula in the dataset: 17.85 kJ/mol of atoms
calculated volume: 20.2 Å³ per atom
final energy: -3.551 eV per atom



Question: What is the final energy in the sixth record?
Answer: -3.551 eV per atom



Question: Which of these has the highest calculated volume?
Answer: Ba4Sm3Cl16



Question: Number 4 is which compound?
Answer: AcTbGeAu